Entry 1:
# CePm2Fe2

A relaxed structure of CePm2Fe2 (PBE, Alexandria).

Geometry as POSCAR:
```
CePm2Fe2
1.0
-0.199 -5.682 0.108
4.941 -2.745 0.618
-0.322 -0.752 7.578
Fe Pm Ce
4 4 2
Direct
0.248 0.003 0.483
0.003 0.248 0.983
0.997 0.752 0.017
0.752 0.997 0.517
0.233 0.461 0.651
0.539 0.767 0.849
0.767 0.539 0.349
0.461 0.233 0.151
0.109 0.891 0.250
0.891 0.109 0.750
```

## Properties
Its crystal system is monoclinic. Its formation energy is 35 meV per atom. The calculation puts the density of states at the Fermi level at 10.50 states/eV per cell.

Entry 2:
# Ce2PmFe

A relaxed structure of Ce2PmFe (PBE, Alexandria).

Geometry as POSCAR:
```
Ce2PmFe
1.0
-1.167 2.159 -2.790
-3.471 1.329 0.006
1.231 8.397 3.508
Pm Ce Fe
1 2 1
Direct
0.500 0.500 0.500
0.277 0.277 0.170
0.723 0.723 0.830
0.000 0.000 0.000
```

## Properties
For the relative energy among the computed polymorphs, the calculation gives 0 meV per atom. Its crystal system is trigonal. Its formation energy is 92 meV per atom. The calculation puts the density of states at the Fermi level at 7.87 states/eV per cell.

Entry 3:
# CePm2Fe

A relaxed structure of CePm2Fe (PBE, Alexandria).

Geometry as POSCAR:
```
CePm2Fe
1.0
-2.169 -2.445 1.119
0.592 -1.588 3.011
-6.300 6.090 6.433
Pm Fe Ce
2 1 1
Direct
0.605 0.605 0.184
0.395 0.395 0.816
0.000 0.000 0.000
0.500 0.500 0.500
```

## Properties
For the relative energy among the computed polymorphs, the calculation gives 469 meV per atom. Its crystal system is trigonal. Its formation energy is 406 meV per atom. The calculation puts the density of states at the Fermi level at 7.57 states/eV per cell.

Entry 4:
# Ce2PmFe

A relaxed structure of Ce2PmFe (PBE, Alexandria).

Geometry as POSCAR:
```
Ce2PmFe
1.0
3.426 0.000 0.000
0.000 3.426 0.000
0.000 0.000 8.653
Ce Fe Pm
2 1 1
Direct
0.000 0.000 0.815
0.000 0.000 0.185
0.500 0.500 0.000
0.500 0.500 0.500
```

## Properties
For the relative energy among the computed polymorphs, the calculation gives 27 meV per atom. Its crystal system is tetragonal. Its formation energy is 119 meV per atom. The calculation puts the density of states at the Fermi level at 10.21 states/eV per cell.

Entry 5:
# CePm3Fe

A relaxed structure of CePm3Fe (PBE, Alexandria).

Geometry as POSCAR:
```
CePm3Fe
1.0
5.379 0.000 0.000
0.000 5.379 0.000
0.000 0.000 5.379
Ce Pm Fe
1 3 1
Direct
0.500 0.500 0.500
0.500 0.000 0.000
0.000 0.000 0.500
0.000 0.500 0.000
0.000 0.000 0.000
```

## Properties
Its crystal system is cubic. Its formation energy is 264 meV per atom. The calculation puts the density of states at the Fermi level at 11.80 states/eV per cell.

Entry 6:
# CePm2Fe

A relaxed structure of CePm2Fe (PBE, Alexandria).

Geometry as POSCAR:
```
CePm2Fe
1.0
6.284 0.000 0.000
0.000 6.962 0.000
0.000 0.000 9.861
Ce Pm Fe
4 8 4
Direct
0.816 0.055 0.250
0.316 0.445 0.750
0.684 0.555 0.250
0.184 0.945 0.750
0.684 0.833 0.571
0.184 0.667 0.429
0.184 0.667 0.071
0.816 0.333 0.929
0.316 0.167 0.429
0.816 0.333 0.571
0.316 0.167 0.071
0.684 0.833 0.929
0.473 0.127 0.750
0.027 0.627 0.750
0.973 0.373 0.250
0.527 0.873 0.250
```

## Properties
For the relative energy among the computed polymorphs, the calculation gives 0 meV per atom. Its crystal system is orthorhombic. Its formation energy is -62 meV per atom. The calculation puts the density of states at the Fermi level at 23.52 states/eV per cell.

Entry 7:
# Ce2PmFe

A relaxed structure of Ce2PmFe (PBE, Alexandria).

Geometry as POSCAR:
```
Ce2PmFe
1.0
-2.933 0.538 -2.303
-2.527 -2.749 -0.505
-6.503 2.341 5.746
Pm Ce Fe
1 2 1
Direct
0.501 0.501 0.496
0.277 0.277 0.168
0.057 0.057 0.828
0.664 0.664 0.007
```

## Properties
For the relative energy among the computed polymorphs, the calculation gives 0 meV per atom. Its crystal system is trigonal. Its formation energy is 92 meV per atom. The calculation puts the density of states at the Fermi level at 8.31 states/eV per cell.

Entry 8:
# CePm2Fe9

A relaxed structure of CePm2Fe9 (PBE, Alexandria).

Geometry as POSCAR:
```
CePm2Fe9
1.0
-3.555 2.048 3.061
-1.224 -2.307 4.403
4.298 4.276 6.410
Fe Ce Pm
9 1 2
Direct
0.579 0.084 0.758
0.421 0.916 0.242
0.916 0.421 0.242
0.500 0.500 0.500
0.668 0.668 0.997
0.332 0.332 0.003
0.579 0.579 0.758
0.421 0.421 0.242
0.084 0.579 0.758
0.000 0.000 0.000
0.859 0.859 0.424
0.141 0.141 0.576
```

## Properties
Its crystal system is trigonal. Its formation energy is 16 meV per atom. The calculation puts the density of states at the Fermi level at 14.76 states/eV per cell.

Entry 9:
# CePmZnFe

A relaxed structure of CePmZnFe (PBE, Alexandria).

Geometry as POSCAR:
```
CePmZnFe
1.0
-2.749 -0.836 -4.102
-4.808 -1.331 0.436
-3.616 3.216 -1.290
Ce Pm Zn Fe
1 1 1 1
Direct
0.250 0.250 0.250
0.750 0.750 0.750
0.500 0.500 0.500
0.000 0.000 0.000
```

## Properties
Its crystal system is cubic. Its formation energy is 16 meV per atom. The calculation puts the density of states at the Fermi level at 7.39 states/eV per cell.

Entry 10:
# CePr3Fe34

A relaxed structure of CePr3Fe34 (PBE, Alexandria).

Geometry as POSCAR:
```
CePr3Fe34
1.0
-5.661 -2.459 1.742
-0.632 -4.141 -4.857
4.449 -10.336 6.023
Fe Pr Ce
34 3 1
Direct
0.998 0.289 0.354
0.094 0.094 0.549
0.339 0.339 0.422
0.501 0.002 0.999
0.000 0.710 0.142
0.702 0.998 0.651
0.903 0.903 0.454
0.300 0.007 0.850
0.908 0.908 0.953
0.710 0.000 0.142
0.001 0.001 0.246
0.337 0.844 0.673
0.279 0.727 0.998
0.095 0.095 0.045
0.663 0.663 0.075
0.499 0.998 0.501
0.998 0.702 0.651
0.007 0.300 0.850
0.002 0.501 0.999
0.727 0.279 0.998
0.157 0.662 0.834
0.702 0.292 0.502
0.289 0.998 0.354
0.844 0.337 0.673
0.998 0.499 0.501
0.846 0.338 0.165
0.292 0.702 0.502
0.661 0.155 0.328
0.338 0.846 0.165
0.662 0.157 0.834
0.656 0.656 0.581
0.997 0.997 0.754
0.155 0.661 0.328
0.341 0.341 0.924
0.653 0.653 0.833
0.347 0.347 0.167
0.659 0.659 0.326
0.340 0.340 0.674
```

## Properties
Its crystal system is monoclinic. Its formation energy is 70 meV per atom. The calculation puts the density of states at the Fermi level at 48.12 states/eV per cell.

Entry 11:
# CePr3Fe

A relaxed structure of CePr3Fe (PBE, Alexandria).

Geometry as POSCAR:
```
CePr3Fe
1.0
-3.517 -3.983 -1.200
4.122 -3.550 -0.297
-0.565 -1.100 5.306
Pr Ce Fe
3 1 1
Direct
0.000 0.000 0.500
0.000 0.500 0.000
0.500 0.000 0.000
0.500 0.500 0.500
0.000 0.000 0.000
```

## Properties
Its crystal system is cubic. Its formation energy is 300 meV per atom. The calculation puts the density of states at the Fermi level at 12.02 states/eV per cell.

Entry 12:
# Ce3PrFe

A relaxed structure of Ce3PrFe (PBE, Alexandria).

Geometry as POSCAR:
```
Ce3PrFe
1.0
5.211 0.000 0.000
0.000 5.211 0.000
0.000 0.000 5.211
Pr Ce Fe
1 3 1
Direct
0.500 0.500 0.500
0.000 0.000 0.500
0.500 0.000 0.000
0.000 0.500 0.000
0.000 0.000 0.000
```

## Properties
Its crystal system is cubic. Its formation energy is 98 meV per atom. The calculation puts the density of states at the Fermi level at 14.74 states/eV per cell.

Entry 13:
# Ce2PrFe9

A relaxed structure of Ce2PrFe9 (PBE, Alexandria).

Geometry as POSCAR:
```
Ce2PrFe9
1.0
-2.026 4.564 -0.376
-4.860 0.672 1.000
-0.442 3.229 8.220
Pr Fe Ce
1 9 2
Direct
0.000 0.000 0.000
0.580 0.084 0.755
0.084 0.580 0.755
0.500 0.500 0.500
0.420 0.916 0.245
0.420 0.420 0.245
0.916 0.420 0.245
0.580 0.580 0.755
0.668 0.668 0.997
0.332 0.332 0.003
0.859 0.859 0.424
0.141 0.141 0.576
```

## Properties
Its crystal system is trigonal. Its formation energy is 51 meV per atom. The calculation puts the density of states at the Fermi level at 19.54 states/eV per cell.

Entry 14:
# CePr2Fe

A relaxed structure of CePr2Fe (PBE, Alexandria).

Geometry as POSCAR:
```
CePr2Fe
1.0
3.424 0.000 0.000
1.712 2.965 0.000
1.712 0.988 11.104
Fe Ce Pr
1 1 2
Direct
0.000 0.000 0.000
0.500 0.500 0.500
0.077 0.077 0.769
0.923 0.923 0.231
```

## Properties
Its crystal system is trigonal. Its formation energy is 662 meV per atom. The calculation puts the density of states at the Fermi level at 8.49 states/eV per cell.

Entry 15:
# CePrFe4

A relaxed structure of CePrFe4 (PBE, Alexandria).

Geometry as POSCAR:
```
CePrFe4
1.0
-1.893 4.185 2.450
-2.366 -4.608 0.514
0.384 0.381 5.177
Fe Ce Pr
4 1 1
Direct
0.248 0.872 0.376
0.752 0.376 0.872
0.752 0.376 0.376
0.248 0.376 0.376
0.500 0.750 0.750
0.000 0.000 0.000
```

## Properties
Its crystal system is cubic. Its formation energy is 38 meV per atom. The calculation puts the density of states at the Fermi level at 7.74 states/eV per cell.

Entry 16:
# CeFe2Pt4

A relaxed structure of CeFe2Pt4 (PBE, Alexandria).

Geometry as POSCAR:
```
CeFe2Pt4
1.0
4.574 0.004 2.450
2.127 4.749 1.528
0.051 -0.341 5.412
Pt Fe Ce
4 2 1
Direct
0.704 0.000 0.593
0.704 0.593 0.000
0.296 0.407 0.000
0.296 0.000 0.407
0.250 0.500 0.500
0.750 0.500 0.500
0.000 0.000 0.000
```

## Properties
Its crystal system is tetragonal. Its formation energy is -566 meV per atom. The calculation puts the density of states at the Fermi level at 6.63 states/eV per cell.

Entry 17:
# Ce6Fe2Pt

A relaxed structure of Ce6Fe2Pt (PBE, Alexandria).

Geometry as POSCAR:
```
Ce6Fe2Pt
1.0
4.891 0.000 0.000
-2.446 4.919 -0.440
0.000 -0.596 8.296
Ce Pt Fe
6 1 2
Direct
0.388 0.776 0.826
0.950 0.900 0.145
0.314 0.627 0.392
0.686 0.373 0.608
0.612 0.224 0.174
0.050 0.100 0.855
0.000 0.000 0.500
0.728 0.455 0.873
0.272 0.545 0.127
```

## Properties
Its crystal system is monoclinic. Its formation energy is -320 meV per atom. The calculation puts the density of states at the Fermi level at 14.13 states/eV per cell.

Entry 18:
# Ce4FePt

A relaxed structure of Ce4FePt (PBE, Alexandria).

Geometry as POSCAR:
```
Ce4FePt
1.0
-3.497 4.097 2.179
-2.629 -0.112 -6.706
-2.614 -5.620 3.672
Ce Pt Fe
8 2 2
Direct
0.891 0.599 0.789
0.548 0.285 0.942
0.391 0.789 0.599
0.452 0.715 0.058
0.048 0.942 0.285
0.109 0.401 0.211
0.609 0.211 0.401
0.952 0.058 0.715
0.750 0.621 0.379
0.250 0.379 0.621
0.750 0.993 0.007
0.250 0.007 0.993
```

## Properties
Its crystal system is monoclinic. Its formation energy is -362 meV per atom. The calculation puts the density of states at the Fermi level at 28.35 states/eV per cell.

Entry 19:
# CeFePt6

A relaxed structure of CeFePt6 (PBE, Alexandria).

Geometry as POSCAR:
```
CeFePt6
1.0
-1.054 -0.746 3.856
3.878 -0.829 0.900
1.225 7.720 1.829
Pt Fe Ce
6 1 1
Direct
0.500 0.500 0.500
0.500 0.000 0.266
0.000 0.500 0.734
0.500 0.500 0.000
0.000 0.500 0.266
0.500 0.000 0.734
0.000 0.000 0.500
0.000 0.000 0.000
```

## Properties
Its crystal system is tetragonal. Its formation energy is -567 meV per atom. The calculation puts the density of states at the Fermi level at 4.59 states/eV per cell.

Entry 20:
# Ce2FeSi4Pt3

A relaxed structure of Ce2FeSi4Pt3 (PBE, Alexandria).

Geometry as POSCAR:
```
Ce2FeSi4Pt3
1.0
4.145 0.000 0.000
0.000 4.145 0.000
0.000 0.000 9.973
Pt Si Ce Fe
3 4 2 1
Direct
0.500 0.000 0.873
0.000 0.000 0.500
0.000 0.500 0.127
0.500 0.500 0.000
0.000 0.000 0.000
0.000 0.500 0.372
0.500 0.000 0.628
0.000 0.500 0.745
0.500 0.000 0.255
0.500 0.500 0.500
```

## Properties
Its crystal system is tetragonal. As for the formation energy from raw total energies: -990 meV/atom. The calculation puts the density of states at the Fermi level at 6.86 states/eV per cell.